1.
Nd2AgSn3Pt4: optimized geometry, PBE-GGA. Values from VASP.

Summary:
- ΔH_f (0 K): -0.737 eV/atom
- Space group: P-4m2 (115)
- Total moment: 0.00 μB per formula unit
- DOS at the Fermi energy: 6.6 states/eV/cell

```
&SYSTEM
  ibrav = 0, nat = 10, ntyp = 4
/
ATOMIC_SPECIES
Nd 144.24 Nd.upf
Ag 107.87 Ag.upf
Sn 118.71 Sn.upf
Pt 195.08 Pt.upf
CELL_PARAMETERS angstrom
4.478 0.000 0.000
0.000 4.478 0.000
0.000 0.000 11.126
ATOMIC_POSITIONS angstrom
Nd 2.239 0.000 2.840
Nd 0.000 2.239 8.286
Ag 2.239 2.239 5.563
Sn 0.000 0.000 5.563
Sn 2.239 0.000 9.685
Sn 0.000 2.239 1.441
Pt 2.239 2.239 0.000
Pt 0.000 0.000 0.000
Pt 2.239 0.000 7.118
Pt 0.000 2.239 4.008
```



2.
NdAgSnPt: optimized geometry, PBE-GGA. Values from VASP.

Summary:
- ΔH_f (0 K): -0.627 eV/atom
- Space group: F-43m (216)
- Total moment: 0.00 μB per formula unit
- DOS at the Fermi energy: 2.4 states/eV/cell

```
&SYSTEM
  ibrav = 0, nat = 4, ntyp = 4
/
ATOMIC_SPECIES
Ag 107.87 Ag.upf
Nd 144.24 Nd.upf
Sn 118.71 Sn.upf
Pt 195.08 Pt.upf
CELL_PARAMETERS angstrom
-3.062 0.400 -3.890
-4.265 -2.543 -0.075
-4.326 2.392 0.480
ATOMIC_POSITIONS angstrom
Ag -5.826 0.124 -1.742
Nd -2.913 0.062 -0.871
Sn -8.739 0.186 -2.613
Pt 0.000 0.000 0.000
```



3.
NdTmAgPt: optimized geometry, PBE-GGA. Values from VASP.

Summary:
- ΔH_f (0 K): -0.731 eV/atom
- Space group: F-43m (216)
- Total moment: 0.00 μB per formula unit
- DOS at the Fermi energy: 2.0 states/eV/cell

```
&SYSTEM
  ibrav = 0, nat = 4, ntyp = 4
/
ATOMIC_SPECIES
Tm 168.93 Tm.upf
Nd 144.24 Nd.upf
Ag 107.87 Ag.upf
Pt 195.08 Pt.upf
CELL_PARAMETERS angstrom
5.079 0.000 0.000
2.540 4.399 0.000
2.540 1.466 4.147
ATOMIC_POSITIONS angstrom
Tm 0.000 0.000 0.000
Nd 5.079 2.933 2.074
Ag 2.540 1.466 1.037
Pt 7.619 4.399 3.111
```



4.
NdYAgPt: optimized geometry, PBE-GGA. Values from VASP.

Summary:
- ΔH_f (0 K): -0.729 eV/atom
- Relative energy among the computed polymorphs: 0.0000 eV per atom
- Space group: Amm2 (38)
- Total moment: 0.00 μB per formula unit
- DOS at the Fermi energy: 2.7 states/eV/cell

```
&SYSTEM
  ibrav = 0, nat = 4, ntyp = 4
/
ATOMIC_SPECIES
Nd 144.24 Nd.upf
Y 88.91 Y.upf
Ag 107.87 Ag.upf
Pt 195.08 Pt.upf
CELL_PARAMETERS angstrom
-3.599 -1.372 0.265
0.885 -2.999 -3.497
3.480 -3.026 3.476
ATOMIC_POSITIONS angstrom
Nd 0.472 -1.042 1.013
Y -0.135 -4.883 1.006
Ag -1.083 -2.790 -1.028
Pt 1.395 -3.080 2.994
```



5.
NdYAgPt: optimized geometry, PBE-GGA. Values from VASP.

Summary:
- ΔH_f (0 K): -0.713 eV/atom
- Relative energy among the computed polymorphs: 0.0164 eV per atom
- Space group: F-43m (216)
- Total moment: 0.00 μB per formula unit
- DOS at the Fermi energy: 2.2 states/eV/cell

```
&SYSTEM
  ibrav = 0, nat = 4, ntyp = 4
/
ATOMIC_SPECIES
Y 88.91 Y.upf
Nd 144.24 Nd.upf
Ag 107.87 Ag.upf
Pt 195.08 Pt.upf
CELL_PARAMETERS angstrom
5.117 0.000 0.000
2.558 4.431 0.000
2.558 1.477 4.178
ATOMIC_POSITIONS angstrom
Y 7.675 4.431 3.133
Nd 2.558 1.477 1.044
Ag 0.000 0.000 0.000
Pt 5.117 2.954 2.089
```



6.
Nd2Zn3AgPt4: optimized geometry, PBE-GGA. Values from VASP.

Summary:
- ΔH_f (0 K): -0.705 eV/atom
- Space group: P-4m2 (115)
- Total moment: 0.00 μB per formula unit
- DOS at the Fermi energy: 3.8 states/eV/cell

```
&SYSTEM
  ibrav = 0, nat = 10, ntyp = 4
/
ATOMIC_SPECIES
Nd 144.24 Nd.upf
Zn 65.41 Zn.upf
Ag 107.87 Ag.upf
Pt 195.08 Pt.upf
CELL_PARAMETERS angstrom
-1.076 3.763 1.243
-3.462 -1.519 1.603
5.434 -1.769 10.057
ATOMIC_POSITIONS angstrom
Nd 0.788 1.450 3.075
Nd 2.377 -2.097 8.405
Zn 2.717 -0.884 5.028
Zn 4.191 0.342 9.374
Zn -1.026 -0.989 2.106
Ag 0.448 0.237 6.452
Pt -2.269 1.122 1.423
Pt 0.000 0.000 0.000
Pt 3.023 0.722 7.212
Pt 0.142 -1.369 4.268
```



7.
NdZnAgPt: optimized geometry, PBE-GGA. Values from VASP.

Summary:
- ΔH_f (0 K): -0.469 eV/atom
- Space group: F-43m (216)
- Total moment: 0.00 μB per formula unit
- DOS at the Fermi energy: 3.0 states/eV/cell

```
&SYSTEM
  ibrav = 0, nat = 4, ntyp = 4
/
ATOMIC_SPECIES
Zn 65.41 Zn.upf
Nd 144.24 Nd.upf
Ag 107.87 Ag.upf
Pt 195.08 Pt.upf
CELL_PARAMETERS angstrom
4.873 0.000 0.000
2.437 4.220 0.000
2.437 1.407 3.979
ATOMIC_POSITIONS angstrom
Zn 0.000 0.000 0.000
Nd 4.873 2.813 1.989
Ag 2.437 1.407 0.995
Pt 7.310 4.220 2.984
```



8.
Nd2Pu2Ag15: optimized geometry, PBE-GGA. Values from VASP.

Summary:
- ΔH_f (0 K): -0.029 eV/atom
- Space group: R-3m (166)
- Total moment: 12.37 μB per formula unit
- DOS at the Fermi energy: 31.8 states/eV/cell

```
&SYSTEM
  ibrav = 0, nat = 19, ntyp = 3
/
ATOMIC_SPECIES
Nd 144.24 Nd.upf
Pu 244.00 Pu.upf
Ag 107.87 Ag.upf
CELL_PARAMETERS angstrom
-0.551 0.948 -7.362
-0.901 -7.151 -1.858
-7.430 0.018 -0.445
ATOMIC_POSITIONS angstrom
Nd -3.075 -2.141 -3.346
Nd -5.807 -4.043 -6.319
Pu -0.860 -0.599 -0.936
Pu -8.022 -5.585 -8.729
Ag -0.276 0.474 -3.681
Ag -3.715 0.009 -0.223
Ag -0.450 -3.575 -0.929
Ag -2.928 -4.925 -1.419
Ag -0.660 -1.566 -5.653
Ag -5.294 0.307 -2.593
Ag -0.792 -4.636 -3.567
Ag -2.687 0.660 -5.214
Ag -5.402 -2.208 -0.884
Ag -5.483 -4.463 -2.691
Ag -2.151 -4.013 -6.042
Ag -5.314 -0.540 -5.357
Ag -3.398 -1.721 -6.973
Ag -6.730 -2.171 -3.623
Ag -3.568 -5.644 -4.307
```